{"formula": "TiV2CdO8", "functional": "PBE with a Hubbard U", "state": "optimized geometry", "lattice": [[-4.864, -3.093, 0.135], [4.882, -3.032, -0.461], [0.290, 2.804, 5.030]], "species": ["O", "O", "Cd", "V", "O", "V", "O", "O", "O", "O", "Ti", "O"], "frac_coords": [[0.799, 0.089, 0.710], [0.303, 0.122, 0.819], [0.250, 0.750, 0.500], [0.500, 0.500, 0.000], [0.303, 0.484, 0.181], [0.750, 0.250, 0.500], [0.911, 0.201, 0.290], [0.516, 0.697, 0.819], [0.380, 0.089, 0.290], [0.878, 0.697, 0.181], [0.000, 0.000, 0.000], [0.911, 0.620, 0.710]], "magnetic_moment_mub_per_cell": 0.00, "dft_energy_ev_per_atom": -7.176}